Here is crystalline NpCrCoO6 at its relaxed geometry from Alexandria via LeMat-Bulk. Energies are from PBE+U.

## Properties
density of states at the Fermi level: 0.04 states/eV/atom
crystal system: trigonal
DFT total energy: -8.09 eV per atom

```
NpCrCoO6
1.0
5.053 0.000 0.000
-2.527 4.376 0.000
0.000 0.000 8.970
Np Cr Co O
2 2 2 12
Direct
0.667 0.333 0.250
0.333 0.667 0.750
0.000 0.000 0.000
0.000 0.000 0.500
0.333 0.667 0.250
0.667 0.333 0.750
0.655 0.676 0.128
0.021 0.345 0.128
0.345 0.021 0.628
0.979 0.655 0.872
0.324 0.345 0.372
0.021 0.676 0.372
0.676 0.021 0.872
0.655 0.979 0.372
0.979 0.324 0.628
0.324 0.979 0.128
0.676 0.655 0.628
0.345 0.324 0.872
```